Computed, not measured: crystalline Ce3TcPb at its relaxed geometry at the PBE level of DFT.

Unit cell a=5.3661 b=6.8264 c=7.2000 alpha=91.81 beta=90.00 gamma=90.00
With the nearest neighbours (Å) after each atom.
Positions (direct):
1 Ce 0.9756 0.0508 0.5011  3 Tc 2.78-3.01, 1 Ce 3.01
2 Tc 0.4756 0.1489 0.4633  1 Ce 2.42
3 Pb 0.9756 0.1427 0.0248  1 Tc 2.93
4 Ce 0.9756 0.6020 0.8751  1 Tc 2.42
5 Ce 0.9756 0.4880 0.4581  1 Tc 2.72, 1 Ce 3.01
6 Ce 0.4756 0.8507 0.1461  3 Tc 2.78-3.01, 1 Ce 3.01
7 Pb 0.4756 0.7588 0.6224  1 Tc 2.93
8 Tc 0.9756 0.7527 0.1839  1 Ce 2.42
9 Ce 0.4756 0.4135 0.1892  1 Tc 2.72, 1 Ce 3.01
10 Ce 0.4756 0.2995 0.7721  1 Tc 2.42

## Properties
Total magnetic moment   1.849 μB/f.u.
DOS at the Fermi energy   21.90 states/eV per cell
Relative energy among the computed polymorphs   2.9 kJ per mole of atoms
Energy relative to the elements   -0.1694 eV per atom